Computed, not measured: a geometry-optimized Ho4S3O structure at the PBE level of DFT.

POSCAR file:
```
Ho4S3O
1.0
5.359 0.000 0.000
0.000 5.359 0.000
0.000 0.000 5.359
Ho S O
4 3 1
Cartesian
0.000 0.000 0.000
0.000 2.679 2.679
2.679 0.000 2.679
2.679 2.679 0.000
0.000 0.000 2.679
0.000 2.679 0.000
2.679 0.000 0.000
2.679 2.679 2.679
```

crystal system = cubic
space-group type = Pm-3m, No. 221

Computed, not measured: a geometry-optimized Ho3S2O2 structure at the PBE level of DFT.

POSCAR file:
```
Ho3S2O2
1.0
12.524 0.000 0.000
0.000 3.758 0.000
-2.832 0.000 5.699
Ho S O
6 4 4
Cartesian
0.000 0.000 0.000
0.804 0.000 4.010
2.626 1.879 1.689
6.262 1.879 0.000
7.066 1.879 4.010
8.889 0.000 1.689
-1.094 1.879 4.708
4.524 0.000 0.991
5.169 0.000 4.708
10.786 1.879 0.991
1.315 0.000 1.855
2.115 1.879 3.844
7.577 1.879 1.855
8.378 0.000 3.844
```

crystal system = monoclinic
space-group type = C2/m, No. 12

Number 1: formation energy (no corrections) -16.135 eV/f.u.. Number 2: formation energy (no corrections) -19.224 eV/f.u..